Computed, not measured: a relaxed NiSb3P6O24 crystal at the PBE+U level of DFT.

VASP energy = -227.34 eV/cell
total moment = 3.074 Bohr magnetons per cell

Cell lengths 8.9101, 8.9101, 8.9101 Å; angles 56.05, 56.05, 56.05 degrees
With the nearest neighbours (Å) after each atom.
Element x y z (fractional)
Ni  0.0000  0.0000  0.0000  6 O 1.97-1.98
Sb  0.2968  0.2968  0.2968  6 O 1.98-1.99
Sb  0.5050  0.5050  0.5050  6 O 1.98
Sb  0.7912  0.7912  0.7912  6 O 1.98-1.99
P  0.1091  0.6874  0.3936  4 O 1.50-1.57
P  0.1855  0.6187  0.8966  4 O 1.51-1.56
P  0.3936  0.1091  0.6874  4 O 1.50-1.57
P  0.6187  0.8966  0.1855  4 O 1.51-1.56
P  0.6874  0.3936  0.1091  4 O 1.50-1.57
P  0.8966  0.1855  0.6187  4 O 1.51-1.56
O  0.0306  0.6302  0.8542  1 P 1.56
O  0.1071  0.1640  0.4654  1 P 1.56
O  0.1249  0.4844  0.4343  1 P 1.57
O  0.1348  0.8245  0.1869  1 P 1.50
O  0.1640  0.4654  0.1071  1 P 1.56
O  0.1668  0.8120  0.8655  1 P 1.51
O  0.1869  0.1348  0.8245  1 P 1.50
O  0.2607  0.6587  0.4530  1 P 1.56
O  0.3889  0.5269  0.7598  1 P 1.56
O  0.4343  0.1249  0.4844  1 P 1.57
O  0.4530  0.2607  0.6587  1 P 1.56
O  0.4654  0.1071  0.1640  1 P 1.56
O  0.4844  0.4343  0.1249  1 P 1.57
O  0.5269  0.7598  0.3889  1 P 1.56
O  0.5384  0.9058  0.7654  1 P 1.55
O  0.6302  0.8542  0.0306  1 P 1.56
O  0.6587  0.4530  0.2607  1 P 1.56
O  0.7598  0.3889  0.5269  1 P 1.56
O  0.7654  0.5384  0.9058  1 P 1.55
O  0.8120  0.8655  0.1668  1 P 1.51
O  0.8245  0.1869  0.1348  1 P 1.50
O  0.8542  0.0306  0.6302  1 P 1.56
O  0.8655  0.1668  0.8120  1 P 1.51
O  0.9058  0.7654  0.5384  1 P 1.55